VASP calculation (PBE-GGA) on an optimized crystal structure of RbTmBe2Br8.

Values from the calculation:
M_tot = 0.000 μB/cell
Calculated volume = 1173.6 Å³/cell
Energy relative to the elements, uncorrected = -1.386 eV per atom

Cell lengths 6.5979, 6.5979, 31.1316 Å; angles 90.00, 90.00, 120.00 degrees
Space group R-3 (No. 148, hexagonal axes)
Inequivalent atoms, fractional coordinates:
Rb1 0.0000 0.0000 0.0000 x3
Tm1 0.0000 0.0000 0.5000 x3
Be1 0.0000 0.0000 0.2438 x6
Br1 0.0000 0.0000 0.3117 x6
Br2 0.0009 0.6812 0.2197 x18